No. 1
TcAsI (PBE, relaxed); calculated volume = 26.02 Å³ per atom; electronic total energy = -5.506 eV per atom; space-group type = No. 2; energy relative to the elements, uncorrected = 15 meV/atom; crystal system = triclinic; magnetization = 0.00 μB/atom
1.0
-0.2730 -3.2942 1.3993
4.6795 2.9131 3.5954
-7.4636 1.6143 1.7179
Tc As I
2 2 2
direct
0.3354 0.1814 0.5326
0.6646 0.8186 0.4674
0.8687 0.2224 0.7624
0.1313 0.7776 0.2376
0.5616 0.6868 0.7519
0.4384 0.3132 0.2481


No. 2
Na2AcCdBi2 (PBE, relaxed); energy relative to the elements = -0.464 eV per atom; calculated volume = 32.74 Å³ per atom; electronic total energy = -3.035 eV per atom; space-group type = No. 26; crystal system = orthorhombic; magnetization = 0.00 μB/atom
1.0
5.0452 0.0000 0.0000
0.0000 8.0947 0.0000
0.0000 0.0000 9.6212
Na Ac Cd Bi
4 2 2 4
direct
0.5000 0.0255 0.0711
0.0000 0.3493 0.1521
0.5000 0.5255 0.9289
0.0000 0.8493 0.8479
0.0000 0.9923 0.4633
0.0000 0.4923 0.5367
0.5000 0.1637 0.6820
0.5000 0.6637 0.3180
0.0000 0.2501 0.8319
0.5000 0.2646 0.3560
0.0000 0.7501 0.1681
0.5000 0.7646 0.6440


No. 3
DyLu2Tl (PBE, relaxed); energy relative to the elements = 0.029 eV per atom; calculated volume = 27.73 Å³ per atom; electronic total energy = -3.974 eV per atom; space-group type = No. 225; crystal system = cubic; polymorph energy (0 for the lowest one) = 0.191 eV/atom; magnetization = 0.30 μB/atom
1.0
-4.5907 1.0331 -2.6354
-4.7258 -0.3545 2.5746
-2.8039 4.4695 1.1177
Tl Lu Dy
1 2 1
direct
0.5000 0.5000 0.5000
0.2500 0.2500 0.2500
0.7500 0.7500 0.7500
0.0000 0.0000 0.0000


No. 4
PrHoTmIn (PBE, relaxed); energy relative to the elements = -0.075 eV per atom; calculated volume = 29.04 Å³ per atom; electronic total energy = -4.217 eV per atom; space-group type = No. 216; crystal system = cubic; polymorph energy (0 for the lowest one) = 0.068 eV/atom; magnetization = 0.38 μB/atom
1.0
5.4769 0.0000 0.0000
0.0000 5.4769 0.0000
-2.7385 -2.7385 3.8729
Pr Ho Tm In
1 1 1 1
direct
0.7500 0.2500 0.5000
0.0000 0.0000 0.0000
0.5000 0.5000 0.0000
0.2500 0.7500 0.5000


No. 5
KPuIn2Br6 (PBE, relaxed); calculated volume = 40.51 Å³ per atom; electronic total energy = -4.322 eV per atom; space-group type = No. 146; energy relative to the elements, uncorrected = -1227 meV/atom; crystal system = trigonal; magnetization = 0.50 μB/atom
1.0
-0.0133 -2.2967 -7.8055
7.0290 -1.5241 -3.8089
1.9488 -8.0422 -1.8803
K Pu In Br
1 1 2 6
direct
0.8138 0.8140 0.5582
0.3229 0.3229 0.0313
0.5240 0.5237 0.4282
0.0171 0.0170 0.9492
0.5715 0.1987 0.2489
0.1986 0.9810 0.2491
0.9809 0.5715 0.2490
0.4214 0.6800 0.7670
0.6802 0.1314 0.7671
0.1313 0.4214 0.7672


No. 6
GdScAlTl (PBE, relaxed); energy relative to the elements = -0.310 eV per atom; calculated volume = 23.92 Å³ per atom; electronic total energy = -6.940 eV per atom; space-group type = No. 216; crystal system = cubic; magnetization = 1.81 μB/atom
1.0
-2.5276 2.7619 -3.5132
1.4804 -0.1245 -4.9145
-2.9219 -2.3571 -3.5022
Sc Tl Gd Al
1 1 1 1
direct
0.0000 0.0000 0.0000
0.7500 0.7500 0.7500
0.5000 0.5000 0.5000
0.2500 0.2500 0.2500


No. 7
Tm2HgO4 (PBE, relaxed); calculated volume = 14.58 Å³ per atom; electronic total energy = -6.841 eV per atom; space-group type = No. 12; energy relative to the elements, uncorrected = -2687 meV/atom; crystal system = monoclinic; magnetization = 0.00 μB/atom
1.0
3.4836 0.0000 0.7312
1.5233 6.7035 1.4063
-0.0136 -0.0471 8.7283
Tm Hg O
4 2 8
direct
0.6186 0.2264 0.5365
0.1588 0.4835 0.1989
0.8412 0.5165 0.8011
0.3814 0.7736 0.4635
0.8864 0.0649 0.1622
0.1136 0.9351 0.8378
0.2327 0.1456 0.3889
0.7966 0.3531 0.0536
0.0341 0.2159 0.7159
0.5829 0.4867 0.3475
0.4171 0.5133 0.6525
0.9659 0.7841 0.2841
0.2034 0.6469 0.9464
0.7673 0.8544 0.6111


No. 8
Zn4As2Se (PBE, relaxed); calculated volume = 22.02 Å³ per atom; electronic total energy = -2.766 eV per atom; space-group type = No. 63; energy relative to the elements, uncorrected = -212 meV/atom; crystal system = orthorhombic; magnetization = 0.00 μB/atom
1.0
-2.3338 6.0715 -1.0182
-0.9923 -4.5790 -4.6255
-6.9766 -2.0846 3.5603
Zn As Se
8 4 2
direct
0.2486 0.2662 0.2500
0.7338 0.7514 0.2500
0.2806 0.7194 0.5039
0.7514 0.7338 0.7500
0.2806 0.7194 0.9961
0.2662 0.2486 0.7500
0.7194 0.2806 0.4961
0.7194 0.2806 0.0039
0.5000 0.5000 0.5000
0.8362 0.1638 0.2500
0.5000 0.5000 0.0000
0.1638 0.8362 0.7500
0.8366 0.1634 0.7500
0.1634 0.8366 0.2500


No. 9
NbC (PBE, relaxed); energy relative to the elements = -0.246 eV per atom; calculated volume = 11.72 Å³ per atom; electronic total energy = -9.893 eV per atom; space-group type = No. 12; crystal system = monoclinic; polymorph energy (0 for the lowest one) = 0.226 eV/atom; magnetization = 0.00 μB/atom
1.0
2.9321 0.0000 -0.9949
-0.4333 5.3999 -1.2769
0.3544 -0.2314 5.8625
Nb C
4 4
direct
0.1463 0.8260 0.2926
0.8537 0.1740 0.7074
0.3943 0.6958 0.7885
0.6057 0.3042 0.2115
0.0000 0.0000 0.0000
0.0000 0.5000 0.0000
0.2447 0.2733 0.4893
0.7553 0.7267 0.5107


No. 10
LiPmNi2 (PBE, relaxed); energy relative to the elements = -0.067 eV per atom; calculated volume = 16.46 Å³ per atom; electronic total energy = -4.624 eV per atom; space-group type = No. 123; crystal system = tetragonal; polymorph energy (0 for the lowest one) = 0.070 eV/atom; magnetization = 0.00 μB/atom
1.0
-2.0588 -1.3267 2.3339
-0.3154 -2.8013 -1.8706
4.5323 -2.3050 2.6878
Ni Li Pm
2 1 1
direct
0.0000 0.0000 0.7137
0.0000 0.0000 0.2863
0.5000 0.5000 0.5000
0.5000 0.5000 0.0000


No. 11
Pr6HgP2Cl3 (PBE, relaxed); calculated volume = 27.36 Å³ per atom; electronic total energy = -5.127 eV per atom; space-group type = No. 12; energy relative to the elements, uncorrected = -1349 meV/atom; crystal system = monoclinic; magnetization = 0.00 μB/atom
1.0
4.1756 0.0000 0.0000
0.0000 8.6677 0.3365
-2.0878 -2.4724 8.9747
Pr Hg P Cl
6 1 2 3
direct
0.3325 0.8898 0.6651
0.6733 0.5643 0.3467
0.6675 0.1102 0.3349
0.0090 0.2609 0.0179
0.9910 0.7391 0.9821
0.3267 0.4357 0.6533
0.5000 0.0000 0.0000
0.8313 0.6642 0.6626
0.1687 0.3358 0.3374
0.5000 0.5000 0.0000
0.8331 0.1674 0.6662
0.1669 0.8326 0.3338


No. 12
SiPSe2 (PBE, relaxed); calculated volume = 26.77 Å³ per atom; electronic total energy = -4.537 eV per atom; space-group type = No. 38; energy relative to the elements, uncorrected = -87 meV/atom; crystal system = orthorhombic; polymorph energy (0 for the lowest one) = 0.000 eV/atom; magnetization = 0.00 μB/atom
1.0
-0.7373 1.8675 4.1103
-1.5777 -2.9119 1.0400
5.1205 -3.8797 2.6813
P Se Si
1 2 1
direct
0.5000 0.6508 0.5726
0.0000 0.9843 0.9078
0.5000 0.2658 0.3420
0.0000 0.5990 0.6775


Question: What is the formula in the eleventh record?
Answer: Pr6HgP2Cl3


Question: magnetization of number 11 (Pr6HgP2Cl3)?
Answer: 0.00 μB/atom


Question: magnetization of number 9 (NbC)?
Answer: 0.00 μB/atom


Question: Which formula does entry 3 have?
Answer: DyLu2Tl